A plane-wave DFT calculation with GGA-PBEsol was carried out for Ti3OF after structural relaxation.

Results
For the formation energy (no corrections), the calculation gives -0.237 eV/atom. The total DFT energy (no corrections) comes out at -33.328 eV per cell.

POSCAR file:
```
Ti3OF
1.0
4.0283 0.0000 0.0000
0.0000 4.0283 0.0000
0.0000 0.0000 4.0283
Ti O F
3 1 1
Direct
0.0000 0.0000 0.5000 Ti
0.0000 0.5000 0.0000 Ti
0.5000 0.0000 0.0000 Ti
0.5000 0.5000 0.5000 O
0.0000 0.0000 0.0000 F
```

---

A plane-wave DFT calculation with GGA-PBEsol was carried out for Ag2Pt after structural relaxation.

Results
The formation energy is 24 meV per atom. For the excess energy over the best structure of this formula in the dataset, the calculation gives 0.032 eV per atom. The total DFT energy (no corrections) comes out at -54.051 eV per cell.

POSCAR file:
```
Ag2Pt
1.0
-1.9993 1.9993 11.9185
1.9993 -1.9993 11.9185
1.9993 1.9993 -11.9185
Ag Pt
8 4
Direct
0.1253 0.3753 0.7500 Ag
0.2918 0.5418 0.7500 Ag
0.3753 0.1253 0.2500 Ag
0.4582 0.7082 0.7500 Ag
0.5418 0.2918 0.2500 Ag
0.6247 0.8747 0.7500 Ag
0.7082 0.4582 0.2500 Ag
0.8747 0.6247 0.2500 Ag
0.0401 0.7901 0.2500 Pt
0.2099 0.9599 0.2500 Pt
0.7901 0.0401 0.7500 Pt
0.9599 0.2099 0.7500 Pt
```